Here is an optimized crystal structure of Mg2CdSb from Alexandria via LeMat-Bulk. Energies are from GGA-PBEsol.

Cell: 4.5492 4.5492 8.6249 Å, 90.00 90.00 90.00°
Last column: nearest neighbours and their distance in Å.
Space group I4/mmm (No. 139)
One atom of each set of equivalent atoms:
Mg 0.0000 0.5000 0.2500  4 Cd 3.13, 4 Sb 3.13, 4 Mg 3.22
Cd 0.0000 0.0000 0.0000  8 Mg 3.13, 4 Sb 3.22
Sb 0.0000 0.0000 0.5000  8 Mg 3.13, 4 Cd 3.22

Output
* M_tot: 0.000 μB/atom
* energy relative to the elements, uncorrected: -0.134 eV per atom
* calculated total energy: -2.431 eV/atom
* calculated volume: 22.31 A^3/atom
* E above lowest polymorph: 17 meV per atom